1.
This record from Alexandria describes a relaxed structure of Ce2Cd5Pb. The functional is GGA-PBE.

Properties
Size of the total moment, μB per cell: 3.87
E, eV/atom: -2.7193
Symmetry: No. 63
Energy of formation, eV per atom: -0.20

abc: 9.2317 9.2317 9.9612
angles: 90.00 90.00 150.01
Fractional positions:
Ce 0.0000 0.0000 0.0000
Ce 0.0000 0.0000 0.5000
Ce 0.1977 0.8023 0.7500
Ce 0.8023 0.1977 0.2500
Cd 0.1898 0.8102 0.1056
Cd 0.1898 0.8102 0.3944
Cd 0.3487 0.6513 0.0286
Cd 0.3487 0.6513 0.4714
Cd 0.3879 0.6121 0.7500
Cd 0.6121 0.3879 0.2500
Cd 0.6513 0.3487 0.5286
Cd 0.6513 0.3487 0.9714
Cd 0.8102 0.1898 0.6056
Cd 0.8102 0.1898 0.8944
Pb 0.4527 0.5473 0.2500
Pb 0.5473 0.4527 0.7500

=====

2.
This record from Alexandria describes a relaxed structure of Ce2Cd3Pb. The functional is GGA-PBE.

Properties
Size of the total moment, μB per cell: 2.55
E, eV/atom: -3.3031
Symmetry: No. 25
Energy of formation, eV per atom: -0.25

abc: 3.4877 5.1341 8.8947
angles: 90.00 90.00 90.00
Fractional positions:
Ce 0.0000 0.0000 0.0000
Ce 0.0000 0.5000 0.4985
Cd 0.5000 0.0000 0.3218
Cd 0.5000 0.5000 0.1698
Cd 0.5000 0.5000 0.8444
Pb 0.5000 0.0000 0.6628

=====

3.
This record from Alexandria describes a relaxed structure of Ce3CdPb2. The functional is GGA-PBE.

Properties
Size of the total moment, μB per cell: 3.69
E, eV/atom: -4.6574
Symmetry: No. 123
Energy of formation, eV per atom: -0.30

abc: 3.5226 3.5226 13.9321
angles: 90.00 90.00 90.00
Fractional positions:
Ce 0.0000 0.0000 0.0000
Ce 0.0000 0.0000 0.3374
Ce 0.0000 0.0000 0.6626
Cd 0.5000 0.5000 0.5000
Pb 0.5000 0.5000 0.1690
Pb 0.5000 0.5000 0.8310

=====

4.
This record from Alexandria describes a relaxed structure of Ce2CdPb5. The functional is GGA-PBE.

Properties
Size of the total moment, μB per cell: 3.51
E, eV/atom: -4.2704
Symmetry: No. 55
Energy of formation, eV per atom: -0.35

abc: 6.8349 13.6019 4.9030
angles: 90.00 90.00 90.00
Fractional positions:
Ce 0.2300 0.1306 0.0000
Ce 0.2700 0.6306 0.0000
Ce 0.7300 0.3694 0.0000
Ce 0.7700 0.8694 0.0000
Cd 0.0000 0.5000 0.5000
Cd 0.5000 0.0000 0.5000
Pb 0.0000 0.0000 0.5000
Pb 0.0188 0.7456 0.5000
Pb 0.2293 0.3822 0.0000
Pb 0.2707 0.8822 0.0000
Pb 0.4812 0.2456 0.5000
Pb 0.5000 0.5000 0.5000
Pb 0.5188 0.7544 0.5000
Pb 0.7293 0.1178 0.0000
Pb 0.7707 0.6178 0.0000
Pb 0.9812 0.2544 0.5000

=====

5.
This record from Alexandria describes a relaxed structure of Ce3CdPb5. The functional is GGA-PBE.

Properties
Size of the total moment, μB per cell: 4.20
E, eV/atom: -4.4350
Symmetry: No. 193
Energy of formation, eV per atom: -0.30

abc: 9.5402 9.5402 6.6112
angles: 90.00 90.00 120.00
Fractional positions:
Ce 0.0000 0.3729 0.2500
Ce 0.0000 0.6271 0.7500
Ce 0.3729 0.0000 0.2500
Ce 0.3729 0.3729 0.7500
Ce 0.6271 0.0000 0.7500
Ce 0.6271 0.6271 0.2500
Cd 0.0000 0.0000 0.0000
Cd 0.0000 0.0000 0.5000
Pb 0.0000 0.2881 0.7500
Pb 0.0000 0.7119 0.2500
Pb 0.2881 0.0000 0.7500
Pb 0.2881 0.2881 0.2500
Pb 0.3333 0.6667 0.0000
Pb 0.3333 0.6667 0.5000
Pb 0.6667 0.3333 0.0000
Pb 0.6667 0.3333 0.5000
Pb 0.7119 0.0000 0.2500
Pb 0.7119 0.7119 0.7500

=====

6.
This record from Alexandria describes a relaxed structure of CeCd2Pb. The functional is GGA-PBE.

Properties
Size of the total moment, μB per cell: 1.00
E, eV/atom: -3.0045
Symmetry: No. 225
Energy of formation, eV per atom: -0.14

abc: 5.3416 5.3416 5.3416
angles: 60.00 60.00 60.00
Fractional positions:
Ce 0.0000 0.0000 0.0000
Cd 0.2500 0.2500 0.2500
Cd 0.7500 0.7500 0.7500
Pb 0.5000 0.5000 0.5000